(1)
A relaxed In2PdAu7 crystal. Source: Alexandria, functional PBE.

Calculated values
magnetic moment: 0.00 μB/f.u.
uncorrected energy: -3.355 eV/atom

abc: 9.2691 9.2691 3.0335
angles: 90.00 90.00 124.94
Atoms (fractional coordinates):
In1 0.1797 0.8203 0.0000
In2 0.8203 0.1797 0.0000
Pd1 0.5000 0.5000 0.5000
Au1 0.0000 0.0000 0.0000
Au2 0.1851 0.3636 0.0000
Au3 0.3215 0.6785 0.5000
Au4 0.3636 0.1851 0.0000
Au5 0.6364 0.8149 0.0000
Au6 0.6785 0.3215 0.5000
Au7 0.8149 0.6364 0.0000

***

(2)
A relaxed InPd2Au4 crystal. Source: Alexandria, functional PBE.

Calculated values
relative energy among the computed polymorphs: 0.0 kJ per mole of atoms
magnetic moment: 0.00 μB/f.u.
uncorrected energy: -3.904 eV/atom

abc: 4.2205 10.6900 5.7573
angles: 90.00 90.16 90.00
Atoms (fractional coordinates):
In1 0.0000 0.0000 0.0000
In2 0.0000 0.5000 0.5000
Pd1 0.4992 0.0401 0.7270
Pd2 0.4992 0.4599 0.2270
Pd3 0.5008 0.5401 0.7730
Pd4 0.5008 0.9599 0.2730
Au1 0.0008 0.6361 0.0548
Au2 0.0008 0.8639 0.5548
Au3 0.4993 0.2083 0.1205
Au4 0.4993 0.2917 0.6205
Au5 0.5007 0.7083 0.3795
Au6 0.5007 0.7917 0.8795
Au7 0.9992 0.1361 0.4452
Au8 0.9992 0.3639 0.9452

***

(3)
A relaxed In2PdAu crystal. Source: Alexandria, functional PBE.

Calculated values
magnetic moment: 0.00 μB/f.u.
uncorrected energy: -3.771 eV/atom

abc: 3.3196 7.2363 7.4402
angles: 104.85 102.70 90.13
Atoms (fractional coordinates):
In1 0.0593 0.3283 0.1205
In2 0.2552 0.7561 0.5113
In3 0.7448 0.2439 0.4887
In4 0.9407 0.6717 0.8795
Pd1 0.4019 0.3559 0.8046
Pd2 0.5981 0.6441 0.1954
Au1 0.1107 0.9819 0.2198
Au2 0.8893 0.0181 0.7802

***

(4)
A relaxed In6Pd5Au crystal. Source: Alexandria, functional PBE.

Calculated values
relative energy among the computed polymorphs: 10.1 kJ per mole of atoms
magnetic moment: 0.00 μB/f.u.
uncorrected energy: -4.125 eV/atom

abc: 5.5140 5.5140 8.9021
angles: 95.93 95.93 120.56
Atoms (fractional coordinates):
In1 0.0763 0.4150 0.7444
In2 0.2453 0.2453 0.2513
In3 0.4150 0.0763 0.7444
In4 0.5850 0.9237 0.2556
In5 0.7547 0.7547 0.7487
In6 0.9237 0.5850 0.2556
Pd1 0.0000 0.0000 0.5000
Pd2 0.1689 0.8311 0.0000
Pd3 0.3385 0.6615 0.5000
Pd4 0.6615 0.3385 0.5000
Pd5 0.8311 0.1689 0.0000
Au1 0.5000 0.5000 0.0000

***

(5)
A relaxed InPd2Au crystal. Source: Alexandria, functional PBE.

Calculated values
magnetic moment: 0.00 μB/f.u.
uncorrected energy: -4.477 eV/atom

abc: 4.2736 3.8513 8.3731
angles: 90.00 90.00 90.00
Atoms (fractional coordinates):
In1 0.2500 0.0000 0.1397
In2 0.7500 0.0000 0.8603
Pd1 0.2500 0.5000 0.3735
Pd2 0.2500 0.5000 0.8831
Pd3 0.7500 0.5000 0.1169
Pd4 0.7500 0.5000 0.6265
Au1 0.2500 0.0000 0.6220
Au2 0.7500 0.0000 0.3780

***

(6)
A relaxed InPd8Au2 crystal. Source: Alexandria, functional PBE.

Calculated values
relative energy among the computed polymorphs: 2.2 kJ per mole of atoms
magnetic moment: 0.00 μB/f.u.
uncorrected energy: -4.620 eV/atom

abc: 7.4439 7.4439 5.0913
angles: 109.15 109.15 118.47
Atoms (fractional coordinates):
In1 0.0000 0.0000 0.0000
Pd1 0.1002 0.3266 0.6206
Pd2 0.2156 0.7844 0.0000
Pd3 0.3266 0.1002 0.6206
Pd4 0.4162 0.4162 0.1803
Pd5 0.5838 0.5838 0.8197
Pd6 0.6734 0.8998 0.3794
Pd7 0.7844 0.2156 0.0000
Pd8 0.8998 0.6734 0.3794
Au1 0.3076 0.6924 0.5000
Au2 0.6924 0.3076 0.5000

***

(7)
A relaxed In2PdAu crystal. Source: Alexandria, functional PBE.

Calculated values
magnetic moment: 0.00 μB/f.u.
uncorrected energy: -3.771 eV/atom

abc: 3.4705 3.4705 6.4224
angles: 90.00 90.00 90.00
Atoms (fractional coordinates):
In1 0.0000 0.0000 0.2397
In2 0.0000 0.0000 0.7603
Pd1 0.5000 0.5000 0.0000
Au1 0.5000 0.5000 0.5000

***

(8)
A relaxed InPd2Au2 crystal. Source: Alexandria, functional PBE.

Calculated values
relative energy among the computed polymorphs: 16.4 kJ per mole of atoms
magnetic moment: 0.00 μB/f.u.
uncorrected energy: -4.045 eV/atom

abc: 7.2483 7.2483 3.5647
angles: 90.00 90.00 90.00
Atoms (fractional coordinates):
In1 0.0000 0.0000 0.0000
In2 0.5000 0.5000 0.0000
Pd1 0.1590 0.3410 0.5000
Pd2 0.3410 0.8410 0.5000
Pd3 0.6590 0.1590 0.5000
Pd4 0.8410 0.6590 0.5000
Au1 0.1382 0.6382 0.0000
Au2 0.3618 0.1382 0.0000
Au3 0.6382 0.8618 0.0000
Au4 0.8618 0.3618 0.0000

***

(9)
A relaxed In3Pd8Au2 crystal. Source: Alexandria, functional PBE.

Calculated values
magnetic moment: 0.00 μB/f.u.
uncorrected energy: -4.427 eV/atom

abc: 10.4379 10.4379 10.4379
angles: 29.32 29.32 29.32
Atoms (fractional coordinates):
In1 0.0000 0.0000 0.0000
In2 0.1847 0.1847 0.1847
In3 0.8153 0.8153 0.8153
Pd1 0.2264 0.7277 0.7277
Pd2 0.2723 0.2723 0.7736
Pd3 0.2723 0.7736 0.2723
Pd4 0.2730 0.2730 0.2730
Pd5 0.7270 0.7270 0.7270
Pd6 0.7276 0.2264 0.7276
Pd7 0.7276 0.7277 0.2264
Pd8 0.7736 0.2724 0.2723
Au1 0.3619 0.3619 0.3619
Au2 0.6381 0.6381 0.6381

***

(10)
A relaxed In3Pd3Au crystal. Source: Alexandria, functional PBE.

Calculated values
magnetic moment: 0.00 μB/f.u.
uncorrected energy: -4.105 eV/atom

abc: 6.3675 6.3675 8.0970
angles: 90.25 90.25 120.20
Atoms (fractional coordinates):
In1 0.0025 0.5225 0.7200
In2 0.2423 0.2423 0.0670
In3 0.4775 0.9975 0.2800
In4 0.5225 0.0025 0.7200
In5 0.7577 0.7577 0.9330
In6 0.9975 0.4775 0.2800
Pd1 0.1497 0.1497 0.3835
Pd2 0.2988 0.7012 0.0000
Pd3 0.3689 0.6311 0.5000
Pd4 0.6311 0.3689 0.5000
Pd5 0.7012 0.2988 0.0000
Pd6 0.8503 0.8503 0.6165
Au1 0.2645 0.2645 0.7336
Au2 0.7355 0.7355 0.2664

***

(11)
A relaxed InPdAu4 crystal. Source: Alexandria, functional PBE.

Calculated values
relative energy among the computed polymorphs: 0.0 kJ per mole of atoms
magnetic moment: 0.00 μB/f.u.
uncorrected energy: -3.665 eV/atom

abc: 5.1552 5.1552 5.8638
angles: 108.49 108.49 47.79
Atoms (fractional coordinates):
In1 0.0000 0.0000 0.0000
Pd1 0.0000 0.0000 0.5000
Au1 0.3337 0.3337 0.1718
Au2 0.3351 0.3351 0.6636
Au3 0.6649 0.6649 0.3364
Au4 0.6663 0.6663 0.8282

***

(12)
A relaxed InPd2Au crystal. Source: Alexandria, functional PBE.

Calculated values
magnetic moment: 0.00 μB/f.u.
uncorrected energy: -4.198 eV/atom

abc: 9.9548 9.9548 9.9548
angles: 156.88 156.88 32.93
Atoms (fractional coordinates):
In1 0.0000 0.0000 0.0000
In2 0.7500 0.2500 0.5000
Pd1 0.1267 0.6250 0.0017
Pd2 0.3750 0.3767 0.5017
Pd3 0.6233 0.1250 0.9983
Pd4 0.8750 0.8733 0.4983
Au1 0.2500 0.7500 0.5000
Au2 0.5000 0.5000 0.0000

***

(13)
A relaxed In2Pd8Au3 crystal. Source: Alexandria, functional PBE.

Calculated values
magnetic moment: 0.00 μB/f.u.
uncorrected energy: -4.516 eV/atom

abc: 7.4543 7.4543 4.6685
angles: 97.96 97.96 63.76
Atoms (fractional coordinates):
In1 0.1644 0.1644 0.2979
In2 0.8356 0.8356 0.7021
Pd1 0.0585 0.0585 0.7680
Pd2 0.1125 0.5443 0.3181
Pd3 0.3091 0.3091 0.8215
Pd4 0.4557 0.8875 0.6819
Pd5 0.5443 0.1125 0.3181
Pd6 0.6909 0.6909 0.1785
Pd7 0.8875 0.4557 0.6819
Pd8 0.9415 0.9415 0.2320
Au1 0.3038 0.6962 0.0000
Au2 0.5000 0.5000 0.5000
Au3 0.6962 0.3038 0.0000

***

(14)
A relaxed In2Pd6Au crystal. Source: Alexandria, functional PBE.

Calculated values
relative energy among the computed polymorphs: 7.5 kJ per mole of atoms
magnetic moment: 0.00 μB/f.u.
uncorrected energy: -4.716 eV/atom

abc: 7.4351 7.4351 4.3663
angles: 107.00 107.00 44.31
Atoms (fractional coordinates):
In1 0.1638 0.1638 0.1641
In2 0.8362 0.8362 0.8359
Pd1 0.1535 0.6387 0.3959
Pd2 0.2914 0.2914 0.7919
Pd3 0.3613 0.8465 0.6041
Pd4 0.6387 0.1535 0.3959
Pd5 0.7086 0.7086 0.2081
Pd6 0.8465 0.3613 0.6041
Au1 0.5000 0.5000 0.0000

***

(15)
A relaxed InPd5Au4 crystal. Source: Alexandria, functional PBE.

Calculated values
relative energy among the computed polymorphs: 21.6 kJ per mole of atoms
magnetic moment: 0.00 μB/f.u.
uncorrected energy: -4.152 eV/atom

abc: 6.4218 6.4218 6.4218
angles: 100.41 100.41 129.68
Atoms (fractional coordinates):
In1 0.0000 0.0000 0.0000
Pd1 0.4621 0.4621 0.0000
Pd2 0.4893 0.8506 0.8612
Pd3 0.6281 0.4893 0.6387
Pd4 0.8506 0.9894 0.3613
Pd5 0.9894 0.6281 0.1388
Au1 0.1784 0.9230 0.6091
Au2 0.3140 0.5693 0.3909
Au3 0.5693 0.1784 0.2553
Au4 0.9230 0.3140 0.7447

***

(16)
A relaxed In3Pd2Au3 crystal. Source: Alexandria, functional PBE.

Calculated values
magnetic moment: 0.00 μB/f.u.
uncorrected energy: -3.872 eV/atom

abc: 7.2719 7.2719 3.3251
angles: 90.00 90.00 120.00
Atoms (fractional coordinates):
In1 0.0000 0.6032 0.0000
In2 0.3968 0.3968 0.0000
In3 0.6032 0.0000 0.0000
Pd1 0.3333 0.6667 0.5000
Pd2 0.6667 0.3333 0.5000
Au1 0.0000 0.2259 0.5000
Au2 0.2259 0.0000 0.5000
Au3 0.7741 0.7741 0.5000

***

(17)
A relaxed In2Pd5Au2 crystal. Source: Alexandria, functional PBE.

Calculated values
magnetic moment: 0.00 μB/f.u.
uncorrected energy: -4.507 eV/atom

abc: 8.5285 4.6107 4.6107
angles: 59.57 90.00 90.00
Atoms (fractional coordinates):
In1 0.1886 0.0000 0.0000
In2 0.8114 0.0000 0.0000
Pd1 0.1663 0.6676 0.6676
Pd2 0.3357 0.3336 0.3336
Pd3 0.5000 0.0002 0.0002
Pd4 0.6643 0.3336 0.3336
Pd5 0.8337 0.6676 0.6676
Au1 0.0000 0.3337 0.3337
Au2 0.5000 0.6678 0.6678

***

(18)
A relaxed In2PdAu2 crystal. Source: Alexandria, functional PBE.

Calculated values
relative energy among the computed polymorphs: 11.5 kJ per mole of atoms
magnetic moment: 0.00 μB/f.u.
uncorrected energy: -3.555 eV/atom

abc: 7.4532 7.4532 3.6700
angles: 90.00 90.00 90.00
Atoms (fractional coordinates):
In1 0.1626 0.3374 0.0000
In2 0.3374 0.8374 0.0000
In3 0.6626 0.1626 0.0000
In4 0.8374 0.6626 0.0000
Pd1 0.0000 0.0000 0.0000
Pd2 0.5000 0.5000 0.0000
Au1 0.1389 0.6389 0.5000
Au2 0.3611 0.1389 0.5000
Au3 0.6389 0.8611 0.5000
Au4 0.8611 0.3611 0.5000

***

(19)
A relaxed InPd9Au2 crystal. Source: Alexandria, functional PBE.

Calculated values
magnetic moment: 0.00 μB/f.u.
uncorrected energy: -4.843 eV/atom

abc: 4.0233 4.0233 11.9777
angles: 90.00 90.00 90.00
Atoms (fractional coordinates):
In1 0.0000 0.0000 0.0000
Pd1 0.0000 0.5000 0.1669
Pd2 0.0000 0.5000 0.5000
Pd3 0.0000 0.5000 0.8331
Pd4 0.5000 0.0000 0.1669
Pd5 0.5000 0.0000 0.5000
Pd6 0.5000 0.0000 0.8331
Pd7 0.5000 0.5000 0.0000
Pd8 0.5000 0.5000 0.3338
Pd9 0.5000 0.5000 0.6662
Au1 0.0000 0.0000 0.3340
Au2 0.0000 0.0000 0.6660

***

(20)
A relaxed In2PdAu crystal. Source: Alexandria, functional PBE.

Calculated values
magnetic moment: 0.00 μB/f.u.
uncorrected energy: -3.754 eV/atom

abc: 7.0724 6.2253 5.6514
angles: 72.91 57.28 49.80
Atoms (fractional coordinates):
In1 0.2227 0.7773 0.7773
In2 0.2500 0.2500 0.2500
In3 0.7500 0.7500 0.7500
In4 0.7773 0.2227 0.2227
Pd1 0.2657 0.7343 0.2657
Pd2 0.7343 0.2657 0.7343
Au1 0.2905 0.2905 0.7095
Au2 0.7095 0.7095 0.2905

***

(21)
A relaxed In2Pd6Au crystal. Source: Alexandria, functional PBE.

Calculated values
relative energy among the computed polymorphs: 0.0 kJ per mole of atoms
magnetic moment: 0.00 μB/f.u.
uncorrected energy: -4.794 eV/atom

abc: 4.4854 4.4854 8.4183
angles: 95.33 95.33 63.60
Atoms (fractional coordinates):
In1 0.1615 0.1615 0.2706
In2 0.8385 0.8385 0.7294
Pd1 0.1692 0.1692 0.6106
Pd2 0.1692 0.1692 0.9479
Pd3 0.4963 0.4963 0.1659
Pd4 0.5037 0.5037 0.8341
Pd5 0.8308 0.8308 0.0521
Pd6 0.8308 0.8308 0.3894
Au1 0.5000 0.5000 0.5000

***

(22)
A relaxed InPd7Au3 crystal. Source: Alexandria, functional PBE.

Calculated values
relative energy among the computed polymorphs: 0.0 kJ per mole of atoms
magnetic moment: 0.00 μB/f.u.
uncorrected energy: -4.656 eV/atom

abc: 4.9365 4.9605 7.5410
angles: 90.24 95.88 99.69
Atoms (fractional coordinates):
In1 0.0000 0.0000 0.0000
Pd1 0.1004 0.1819 0.3660
Pd2 0.1902 0.3653 0.7323
Pd3 0.4590 0.9112 0.8209
Pd4 0.5566 0.0936 0.1851
Pd5 0.7368 0.4558 0.9110
Pd6 0.8326 0.6374 0.2741
Pd7 0.9182 0.8202 0.6397
Au1 0.2916 0.5474 0.0938
Au2 0.3717 0.7294 0.4593
Au3 0.6498 0.2753 0.5501

***

no.,calculated formation energy (meV per atom)
1,6
2,-157
3,-284
4,-319
5,-377
6,2
7,-284
8,-109
9,-95
10,-238
11,-158
12,-98
13,-143
14,-282
15,29
16,-317
17,-286
18,-110
19,-174
20,-267
21,-360
22,-209